Entry 1:
First-principles (PBE) data for a geometry-optimized Nd3YHo12 structure, as listed in the Alexandria database.

Unit cell a=5.030 b=5.030 c=20.130 alpha=90.00 beta=90.00 gamma=90.00
Space group P4/mmm (No. 123)
One atom of each set of equivalent atoms:
Nd  0.000  0.000  0.000 x1
Nd  0.000  0.000  0.250 x2
Y  0.000  0.000  0.500 x1
Ho  0.000  0.500  0.125 x4
Ho  0.000  0.500  0.376 x4
Ho  0.500  0.500  0.000 x1
Ho  0.500  0.500  0.251 x2
Ho  0.500  0.500  0.500 x1

## Properties
The calculation puts the energy of formation from the pure elements at 0.02 eV/atom. For the total DFT energy (no corrections), the calculation gives -4.709 eV/atom.



Entry 2:
First-principles (PBE) data for a geometry-optimized PaCrMoN3 structure, as listed in the Alexandria database.

Unit cell a=6.651 b=3.032 c=7.553 alpha=90.00 beta=102.12 gamma=90.00
Space group P2_1/m (No. 11)
One atom of each set of equivalent atoms:
Pa  0.179  0.250  0.206 x2
Cr  0.127  0.250  0.605 x2
Mo  0.358  0.750  0.882 x2
N  0.122  0.250  0.871 x2
N  0.176  0.750  0.452 x2
N  0.436  0.750  0.172 x2

## Properties
For the total DFT energy (no corrections), the calculation gives -10.019 eV/atom.



Entry 3:
First-principles (PBE) data for a geometry-optimized PmHoAlAu structure, as listed in the Alexandria database.

Unit cell a=4.580 b=3.805 c=11.492 alpha=90.00 beta=90.00 gamma=90.00
Space group Amm2 (No. 38)
One atom of each set of equivalent atoms:
Pm  0.000  0.000  0.000 x2
Ho  0.500  0.000  0.299 x2
Al  0.000  0.000  0.727 x2
Au  0.500  0.000  0.584 x2

## Properties
The calculation puts the energy of formation from the pure elements at -0.58 eV/atom. Its polymorph energy (0 for the lowest one) is 0 meV/atom. For the total DFT energy (no corrections), the calculation gives -4.669 eV/atom.



Entry 4:
First-principles (PBE) data for a geometry-optimized LiLaW2 structure, as listed in the Alexandria database.

Unit cell a=10.614 b=3.024 c=4.765 alpha=90.00 beta=101.72 gamma=90.00
Space group C2/m (No. 12)
One atom of each set of equivalent atoms:
Li  0.000  0.000  0.000 x2
La  0.000  0.500  0.500 x2
W  0.234  0.500  0.227 x4

## Properties
The calculation puts the energy of formation from the pure elements at 0.69 eV/atom. Its polymorph energy (0 for the lowest one) is 244 meV/atom. For the total DFT energy (no corrections), the calculation gives -7.493 eV/atom.



Entry 5:
First-principles (PBE) data for a geometry-optimized CaTcGe3 structure, as listed in the Alexandria database.

Unit cell a=4.864 b=4.864 c=4.864 alpha=90.00 beta=90.00 gamma=90.00
Space group Pm-3m (No. 221)
One atom of each set of equivalent atoms:
Ca  0.000  0.000  0.000 x1
Tc  0.500  0.500  0.500 x1
Ge  0.000  0.500  0.500 x3

## Properties
The calculation puts the energy of formation from the pure elements at 0.01 eV/atom. Its polymorph energy (0 for the lowest one) is 305 meV/atom. For the total DFT energy (no corrections), the calculation gives -5.239 eV/atom.



Entry 6:
First-principles (PBE) data for a geometry-optimized Cs3LaF structure, as listed in the Alexandria database.

Unit cell a=7.269 b=7.269 c=7.269 alpha=90.00 beta=90.00 gamma=90.00
Space group Pm-3m (No. 221)
One atom of each set of equivalent atoms:
Cs  0.000  0.000  0.500 x3
La  0.000  0.000  0.000 x1
F  0.500  0.500  0.500 x1

## Properties
For the total DFT energy (no corrections), the calculation gives -1.740 eV/atom.



Entry 7:
First-principles (PBE) data for a geometry-optimized SiTe2Ir structure, as listed in the Alexandria database.

Unit cell a=6.894 b=4.003 c=6.776 alpha=90.00 beta=110.21 gamma=90.00
Space group C2/m (No. 12)
One atom of each set of equivalent atoms:
Si  0.000  0.000  0.000 x2
Te  0.243  0.000  0.728 x4
Ir  0.000  0.500  0.500 x2

## Properties
For the total DFT energy (no corrections), the calculation gives -4.943 eV/atom.



Entry 8:
First-principles (PBE) data for a geometry-optimized Ba2CePaO6 structure, as listed in the Alexandria database.

Unit cell a=9.020 b=9.020 c=9.020 alpha=90.00 beta=90.00 gamma=90.00
Space group Fm-3m (No. 225)
One atom of each set of equivalent atoms:
Ba  0.250  0.250  0.250 x8
Ce  0.000  0.000  0.000 x4
Pa  0.000  0.000  0.500 x4
O  0.000  0.000  0.257 x24

## Properties
Its polymorph energy (0 for the lowest one) is 0 meV/atom. For the total DFT energy (no corrections), the calculation gives -8.124 eV/atom.



Entry 9:
First-principles (PBE) data for a geometry-optimized Y3InO structure, as listed in the Alexandria database.

Unit cell a=5.421 b=11.105 c=8.608 alpha=90.00 beta=90.00 gamma=90.00
Space group Ama2 (No. 40)
One atom of each set of equivalent atoms:
Y  0.250  0.106  0.000 x4
Y  0.250  0.110  0.409 x4
Y  0.250  0.392  0.199 x4
In  0.250  0.320  0.685 x4
O  0.000  0.000  0.549 x4

## Properties
For the total DFT energy (no corrections), the calculation gives -6.805 eV/atom.



Entry 10:
First-principles (PBE) data for a geometry-optimized Li4Nd3Cd2 structure, as listed in the Alexandria database.

Unit cell a=11.314 b=5.016 c=8.096 alpha=90.00 beta=103.80 gamma=90.00
Space group C2/m (No. 12)
One atom of each set of equivalent atoms:
Li  0.132  0.000  0.099 x4
Li  0.213  0.500  0.552 x4
Nd  0.000  0.000  0.500 x2
Nd  0.048  0.500  0.823 x4
Cd  0.250  0.000  0.795 x4

## Properties
The calculation puts the energy of formation from the pure elements at -0.08 eV/atom. For the total DFT energy (no corrections), the calculation gives -2.721 eV/atom.